DFT (GGA-PBE) results for crystalline VCo2Ni at its relaxed geometry.

Computed properties:
Theoretical density in kg/m³: 8549
Space-group type: R-3m (166)
D(E_F) in states/eV/cell: 9.04
DFT formation energy in meV per atom: -205

Cell lengths 6.7264, 6.7264, 6.7264 Å; angles 43.84, 43.84, 43.84 degrees
Closest atoms and distances in Å follow each position.
Fractional coordinates of all 12 atoms:
1 V 0.0000 0.0000 0.0000  6 Co 2.50, 6 Ni 2.51
2 V 0.2151 0.2151 0.2151  9 Co 2.41-2.51, 3 Ni 2.60
3 V 0.7849 0.7849 0.7849  9 Co 2.41-2.51, 3 Ni 2.60
4 Co 0.2297 0.7190 0.7190  4 V 2.41-2.51, 6 Co 2.46-2.56, 2 Ni 2.47
5 Co 0.2810 0.2810 0.7703  4 V 2.41-2.51, 6 Co 2.46-2.56, 2 Ni 2.47
6 Co 0.2810 0.7703 0.2810  4 V 2.41-2.51, 6 Co 2.46-2.56, 2 Ni 2.47
7 Co 0.7190 0.2297 0.7190  4 V 2.41-2.51, 6 Co 2.46-2.56, 2 Ni 2.47
8 Co 0.7190 0.7190 0.2297  4 V 2.41-2.51, 6 Co 2.46-2.56, 2 Ni 2.47
9 Co 0.7703 0.2810 0.2810  4 V 2.41-2.51, 6 Co 2.46-2.56, 2 Ni 2.47
10 Ni 0.0000 0.5000 0.5000  4 Co 2.47, 4 Ni 2.51, 4 V 2.51-2.60
11 Ni 0.5000 0.0000 0.5000  4 Co 2.47, 4 Ni 2.51, 4 V 2.51-2.60
12 Ni 0.5000 0.5000 0.0000  4 Co 2.47, 4 V 2.51-2.60, 4 Ni 2.51